Record 1
# PBE CaReMo2, optimized geometry
# Energy of formation   751.8 meV per atom
# Spin magnetization   0.0 Bohr magnetons per cell
# E   -0.60829 Ry per atom
data_CaReMo2
_cell_length_a 5.533
_cell_length_b 5.533
_cell_length_c 2.657
_cell_angle_alpha 90.00
_cell_angle_beta 90.00
_cell_angle_gamma 120.72
_space_group_name_H-M_alt 'P 1'
_space_group_IT_number 1
loop_
_space_group_symop_operation_xyz
'x,y,z'
loop_
_atom_site_label
_atom_site_type_symbol
_atom_site_fract_x
_atom_site_fract_y
_atom_site_fract_z
_atom_site_occupancy
Mo1 Mo 0.000 0.000 0.000 1
Ca1 Ca 0.000 0.500 0.500 1
Mo2 Mo 0.500 0.500 0.000 1
Re1 Re 0.500 0.000 0.500 1

Record 2
# PBE CaReMo2, optimized geometry
# Energy of formation   572.6 meV per atom
# Spin magnetization   0.0 Bohr magnetons per cell
# E   -0.62146 Ry per atom
data_CaReMo2
_cell_length_a 5.261
_cell_length_b 5.261
_cell_length_c 5.215
_cell_angle_alpha 73.01
_cell_angle_beta 73.01
_cell_angle_gamma 34.64
_space_group_name_H-M_alt 'P 1'
_space_group_IT_number 1
loop_
_space_group_symop_operation_xyz
'x,y,z'
loop_
_atom_site_label
_atom_site_type_symbol
_atom_site_fract_x
_atom_site_fract_y
_atom_site_fract_z
_atom_site_occupancy
Re1 Re 0.750 0.750 0.750 1
Mo1 Mo 0.036 0.036 0.915 1
Ca1 Ca 0.250 0.250 0.250 1
Mo2 Mo 0.464 0.464 0.585 1

Question: Among the records above, which one has the highest energy of formation?
Answer: number 1

Question: Which value of E does entry 1 give?
Answer: -0.60829 Ry per atom